Density functional theory data (PBE-GGA) for a relaxed BaNp2PdS5 crystal.

## Properties
total energy	-7.31	eV/atom
uncorrected formation energy	-1.3464	eV/atom

Cell lengths 8.7719, 8.7719, 8.7719 Å; angles 129.01, 129.01, 75.00 degrees
Sites, in units of the cell vectors:
Ba: 0.2500 0.2500 0.0000
Ba: 0.7500 0.7500 0.0000
Np: 0.1583 0.6583 0.8166
Np: 0.3417 0.1583 0.5000
Np: 0.6583 0.8417 0.5000
Np: 0.8417 0.3417 0.1834
Pd: 0.2500 0.7500 0.5000
Pd: 0.7500 0.2500 0.5000
S: 0.0000 0.0000 0.0000
S: 0.0289 0.2253 0.5000
S: 0.2253 0.7253 0.1964
S: 0.2747 0.4711 0.5000
S: 0.4711 0.9711 0.1964
S: 0.5000 0.5000 0.0000
S: 0.5289 0.0289 0.8036
S: 0.7253 0.5289 0.5000
S: 0.7747 0.2747 0.8036
S: 0.9711 0.7747 0.5000



Density functional theory data (PBE-GGA) for a relaxed BaNp2PdS4 crystal.

## Properties
total energy	-7.61	eV/atom
uncorrected formation energy	-1.4227	eV/atom

Cell lengths 6.9806, 6.9806, 13.7831 Å; angles 90.00, 90.00, 145.98 degrees
Sites, in units of the cell vectors:
Ba: 0.1134 0.8866 0.7500
Ba: 0.8866 0.1134 0.2500
Np: 0.3690 0.6310 0.5633
Np: 0.3690 0.6310 0.9367
Np: 0.6310 0.3690 0.0633
Np: 0.6310 0.3690 0.4367
Pd: 0.1589 0.8411 0.2500
Pd: 0.8411 0.1589 0.7500
S: 0.0000 0.0000 0.0000
S: 0.0000 0.0000 0.5000
S: 0.2648 0.7352 0.1062
S: 0.2648 0.7352 0.3938
S: 0.4419 0.5581 0.7500
S: 0.5581 0.4419 0.2500
S: 0.7352 0.2648 0.6062
S: 0.7352 0.2648 0.8938